Record 1
Th4IrSe4 | PBE-GGA | optimized geometry

a = 7.5164 Å, b = 7.5164 Å, c = 7.5164 Å
α = 122.86°, β = 122.86°, γ = 85.11°
Fractional coordinates of all 9 atoms:
Th: 0.0701 0.6451 0.0000
Th: 0.3549 0.3549 0.4250
Th: 0.6451 0.0701 0.0000
Th: 0.9299 0.9299 0.5750
Ir: 0.0000 0.0000 0.0000
Se: 0.0000 0.5000 0.5000
Se: 0.3315 0.3315 0.0000
Se: 0.5000 0.0000 0.5000
Se: 0.6685 0.6685 0.0000

Its electronic total energy is -61.448 eV for the cell shown. As for the volume: 286 Å³/cell. Its space group is I-42m, No. 121.

Record 2
Th2ZnInRh | PBE-GGA | optimized geometry

a = 7.6620 Å, b = 4.3681 Å, c = 7.7170 Å
α = 90.00°, β = 107.72°, γ = 90.00°
Fractional coordinates of all 10 atoms:
Th: 0.1104 0.2500 0.3457
Th: 0.2915 0.2500 0.9708
Th: 0.7085 0.7500 0.0292
Th: 0.8896 0.7500 0.6543
Zn: 0.4427 0.7500 0.3350
Zn: 0.5573 0.2500 0.6650
In: 0.3329 0.7500 0.6606
In: 0.6671 0.2500 0.3394
Rh: 0.1143 0.7500 0.0977
Rh: 0.8857 0.2500 0.9023

Its electronic total energy is -57.290 eV for the cell shown. As for the volume: 246 Å³/cell. Its space group is P2_1/m, No. 11. For the formation energy, the calculation gives -0.4883 eV per atom.

Record 3
Li4SiHg | PBE-GGA | optimized geometry

a = 4.4149 Å, b = 4.4149 Å, c = 5.4494 Å
α = 90.00°, β = 90.00°, γ = 120.00°
Fractional coordinates of all 6 atoms:
Li: 0.3333 0.6667 0.2289
Li: 0.3333 0.6667 0.7711
Li: 0.6667 0.3333 0.2289
Li: 0.6667 0.3333 0.7711
Si: 0.0000 0.0000 0.0000
Hg: 0.0000 0.0000 0.5000

Its electronic total energy is -14.888 eV for the cell shown. As for the volume: 92 Å³/cell. Its space group is P6/mmm, No. 191.